## Tb5Er12Cd2 (PBE)

Data for an optimized crystal structure of Tb5Er12Cd2.

Results
The calculated total energy comes out at -4.15 eV per atom. The energy relative to the elements comes out at 47 meV per atom. The magnetic moment is 0.00 μB per formula unit.

Cell and atoms, written as POSCAR:
```
Tb5Er12Cd2
1.0
-3.516 4.297 -7.310
1.023 -8.958 0.005
-7.466 -0.726 3.164
Tb Er Cd
5 12 2
direct
0.236 0.472 0.581
0.304 0.608 0.995
0.000 0.000 0.500
0.696 0.392 0.005
0.764 0.528 0.419
0.913 0.826 0.109
0.033 0.697 0.758
0.664 0.697 0.758
0.180 0.750 0.336
0.570 0.750 0.336
0.446 0.893 0.680
0.554 0.107 0.320
0.820 0.250 0.664
0.430 0.250 0.664
0.967 0.303 0.242
0.336 0.303 0.242
0.087 0.174 0.891
0.684 0.000 0.000
0.316 0.000 0.000
```